Density functional theory data (PBE-GGA) for a geometry-optimized TbHoHf structure.

Unit cell a=4.6939 b=3.3868 c=10.4534 alpha=90.00 beta=90.00 gamma=90.00
Sites, in units of the cell vectors:
1 Ho 0.8469 0.7447 0.6819
2 Tb 0.8469 0.7451 0.3207
3 Tb 0.3469 0.2450 0.5029
4 Hf 0.3469 0.2447 0.8432
5 Ho 0.3469 0.2452 0.1416
6 Hf 0.8469 0.7449 0.9803

Output
The calculated density is 10.04 g/cm3. The density of states at the Fermi level comes out at 9.246 states/eV/cell. The total magnetic moment comes out at 0.0 Bohr magnetons per cell. For the energy, the calculation gives -6.262 eV per atom. The calculation puts the formation energy at 125 meV/atom. For the energy above the most stable polymorph in this dataset, the calculation gives 7 meV per atom.


Density functional theory data (PBE-GGA) for a geometry-optimized HoHf2Tc structure.

Unit cell a=3.3105 b=3.3105 c=8.0308 alpha=90.00 beta=90.00 gamma=90.00
Sites, in units of the cell vectors:
1 Hf 0.0000 0.0000 0.1910
2 Tc 0.5000 0.5000 0.0000
3 Hf 0.0000 0.0000 0.8090
4 Ho 0.5000 0.5000 0.5000

Output
The calculated density is 11.70 g/cm3. The density of states at the Fermi level comes out at 4.869 states/eV/cell. The total magnetic moment comes out at 0.0 Bohr magnetons per cell. For the energy, the calculation gives -8.875 eV per atom. The calculation puts the formation energy at -162 meV/atom.


Density functional theory data (PBE-GGA) for a geometry-optimized Ho3HfTe6 structure.

Unit cell a=8.8246 b=8.8246 c=8.8246 alpha=89.84 beta=89.84 gamma=89.84
Each line ends with the local moment (μB).
Sites, in units of the cell vectors:
1 Te 0.5785 0.8140 0.4565  0.00
2 Te 0.3059 0.9210 0.0989  -0.01
3 Hf 0.0000 0.0000 0.0000  0.41
4 Ho 0.2355 0.5798 0.0853  0.05
5 Ho 0.5798 0.0853 0.2355  0.05
6 Te 0.5435 0.4215 0.1860  0.00
7 Ho 0.7645 0.4202 0.9147  0.05
8 Ho 0.4202 0.9147 0.7645  0.05
9 Ho 0.9147 0.7645 0.4202  0.05
10 Te 0.9011 0.6941 0.0790  -0.01
11 Te 0.9210 0.0989 0.3059  -0.01
12 Te 0.1860 0.5435 0.4215  0.00
13 Te 0.0989 0.3059 0.9210  -0.01
14 Te 0.0790 0.9011 0.6941  -0.01
15 Te 0.8140 0.4565 0.5785  0.00
16 Hf 0.5000 0.5000 0.5000  0.23
17 Te 0.4565 0.5785 0.8140  0.00
18 Ho 0.0853 0.2355 0.5798  0.05
19 Te 0.6941 0.0790 0.9011  -0.01
20 Te 0.4215 0.1860 0.5435  0.00

Output
The uncorrected formation energy is -1104 meV/atom. The calculated density is 6.95 g/cm3. The density of states at the Fermi level comes out at 11.147 states/eV/cell. The total magnetic moment comes out at 1.5 Bohr magnetons per cell. For the energy, the calculation gives -5.358 eV per atom.


Density functional theory data (PBE-GGA) for a geometry-optimized Ho2Hf2Te7 structure.

Unit cell a=7.5372 b=7.9708 c=7.9708 alpha=112.35 beta=93.67 gamma=93.67
Sites, in units of the cell vectors:
1 Te 0.7274 0.0466 0.4234
2 Te 0.2726 0.5766 0.9534
3 Te 0.2726 0.9534 0.5766
4 Ho 0.5000 0.6870 0.3130
5 Te 0.2471 0.4172 0.4172
6 Hf 0.8870 0.2789 0.2789
7 Te 0.0000 0.0000 0.0000
8 Te 0.7274 0.4234 0.0466
9 Ho 0.5000 0.3130 0.6870
10 Hf 0.1130 0.7211 0.7211
11 Te 0.7529 0.5828 0.5828

Output
The uncorrected formation energy is -872 meV/atom. The calculated density is 5.96 g/cm3. The total magnetic moment comes out at 0.0 Bohr magnetons per cell. For the energy, the calculation gives -5.513 eV per atom.


Density functional theory data (PBE-GGA) for a geometry-optimized Ho2HfTe5 structure.

Unit cell a=5.9407 b=7.7593 c=14.1940 alpha=90.00 beta=90.00 gamma=112.51
Sites, in units of the cell vectors:
1 Ho 0.8445 0.6890 0.0580
2 Ho 0.1555 0.3110 0.9420
3 Te 0.3216 0.6433 0.0852
4 Te 0.2663 0.5326 0.7500
5 Ho 0.8445 0.6890 0.4420
6 Ho 0.1555 0.3110 0.5580
7 Te 0.9541 0.9083 0.8783
8 Te 0.0459 0.0917 0.1217
9 Te 0.6784 0.3567 0.9148
10 Hf 0.8073 0.6147 0.7500
11 Te 0.3216 0.6433 0.4148
12 Hf 0.1927 0.3853 0.2500
13 Te 0.9541 0.9083 0.6217
14 Te 0.7337 0.4674 0.2500
15 Te 0.6784 0.3567 0.5852
16 Te 0.0459 0.0917 0.3783

Output
The uncorrected formation energy is -1050 meV/atom. The calculated density is 6.30 g/cm3. The total magnetic moment comes out at 0.0 Bohr magnetons per cell. For the energy, the calculation gives -5.402 eV per atom.


Density functional theory data (PBE-GGA) for a geometry-optimized Ho3HfTl4Te8 structure.

Unit cell a=8.7015 b=9.6448 c=8.7024 alpha=116.84 beta=120.00 gamma=90.00
Sites, in units of the cell vectors:
1 Te 0.7384 0.7150 0.4767
2 Tl 0.0000 0.0000 0.5000
3 Ho 0.0000 0.5000 0.5000
4 Te 0.2294 0.7091 0.4588
5 Ho 0.5000 0.5000 0.5000
6 Tl 0.5000 0.0000 0.5000
7 Te 0.7706 0.2909 0.0202
8 Te 0.2616 0.2850 0.5233
9 Te 0.7706 0.2909 0.5412
10 Tl 0.0000 0.0000 0.0000
11 Hf 0.0000 0.5000 0.0000
12 Te 0.2496 0.2909 0.0202
13 Te 0.2294 0.7091 0.9798
14 Ho 0.5000 0.5000 0.0000
15 Te 0.7504 0.7091 0.9798
16 Tl 0.5000 0.0000 0.0000

Output
The uncorrected formation energy is -905 meV/atom. The calculated density is 7.73 g/cm3. The density of states at the Fermi level comes out at 4.566 states/eV/cell. The total magnetic moment comes out at 0.0 Bohr magnetons per cell. For the energy, the calculation gives -4.548 eV per atom.


Density functional theory data (PBE-GGA) for a geometry-optimized Ho3HfTl3Te8 structure.

Unit cell a=8.6790 b=8.6763 c=9.7015 alpha=116.55 beta=90.00 gamma=120.02
Sites, in units of the cell vectors:
1 Tl 0.0000 0.0000 0.0000
2 Hf 0.0000 0.0000 0.5000
3 Te 0.7378 0.4757 0.7134
4 Te 0.2500 0.0221 0.2942
5 Te 0.2279 0.9779 0.7058
6 Te 0.2279 0.4559 0.7058
7 Te 0.7721 0.0221 0.2942
8 Ho 0.5000 0.0000 0.5000
9 Te 0.2622 0.5243 0.2866
10 Tl 0.5000 0.5000 0.0000
11 Ho 0.5000 0.5000 0.5000
12 Te 0.7721 0.5441 0.2942
13 Ho 0.0000 0.5000 0.5000
14 Te 0.7500 0.9779 0.7058
15 Tl 0.0000 0.5000 0.0000

Output
The uncorrected formation energy is -991 meV/atom. The calculated density is 7.07 g/cm3. The density of states at the Fermi level comes out at 0.028 states/eV/cell. The total magnetic moment comes out at 0.0 Bohr magnetons per cell. For the energy, the calculation gives -4.719 eV per atom.


Density functional theory data (PBE-GGA) for a geometry-optimized Ho2HfTl3Te6 structure.

Unit cell a=7.4720 b=7.4720 c=8.6340 alpha=98.30 beta=98.30 gamma=119.94
Sites, in units of the cell vectors:
1 Te 0.3883 0.0693 0.2087
2 Ho 0.6658 0.3342 0.0000
3 Te 0.2472 0.2472 0.7869
4 Te 0.9307 0.6117 0.7913
5 Hf 0.0000 0.0000 0.0000
6 Ho 0.3342 0.6658 0.0000
7 Tl 0.8276 0.1724 0.5000
8 Tl 0.5000 0.5000 0.5000
9 Te 0.0693 0.3883 0.2087
10 Tl 0.1724 0.8276 0.5000
11 Te 0.7528 0.7528 0.2131
12 Te 0.6117 0.9307 0.7913

Output
The uncorrected formation energy is -860 meV/atom. The calculated density is 7.83 g/cm3. The density of states at the Fermi level comes out at 4.663 states/eV/cell. The total magnetic moment comes out at 0.0 Bohr magnetons per cell. For the energy, the calculation gives -4.614 eV per atom.